Record 1
A plane-wave DFT calculation with PBE was carried out for Ce2Th3In after structural relaxation.

abc: 8.5992 3.5578 11.6437
angles: 90.00 91.70 90.00
Sites, in units of the cell vectors:
Ce  0.0698  0.2500  0.1222
Ce  0.4070  0.7500  0.5575
Ce  0.5930  0.2500  0.4425
Ce  0.9302  0.7500  0.8778
Th  0.1227  0.2500  0.4046
Th  0.3229  0.7500  0.9379
Th  0.4019  0.7500  0.2310
Th  0.5981  0.2500  0.7690
Th  0.6771  0.2500  0.0621
Th  0.8773  0.7500  0.5954
In  0.1769  0.2500  0.7109
In  0.8231  0.7500  0.2891



Record 2
A plane-wave DFT calculation with PBE was carried out for Ce2Th2In3 after structural relaxation.

abc: 4.6953 24.4226 3.3725
angles: 90.00 90.00 90.00
Sites, in units of the cell vectors:
Ce  0.0000  0.2166  0.0000
Ce  0.0000  0.7834  0.0000
Ce  0.5000  0.2834  0.0000
Ce  0.5000  0.7166  0.0000
Th  0.0000  0.0739  0.0000
Th  0.0000  0.9261  0.0000
Th  0.5000  0.4261  0.0000
Th  0.5000  0.5739  0.0000
In  0.0000  0.3498  0.5000
In  0.0000  0.5000  0.5000
In  0.0000  0.6502  0.5000
In  0.5000  0.0000  0.5000
In  0.5000  0.1502  0.5000
In  0.5000  0.8498  0.5000



Record 3
A plane-wave DFT calculation with PBE was carried out for Ce2ThIn2 after structural relaxation.

abc: 9.1990 9.1990 3.3798
angles: 90.00 90.00 90.00
Sites, in units of the cell vectors:
Ce  0.1031  0.3969  0.0000
Ce  0.3969  0.8969  0.0000
Ce  0.6031  0.1031  0.0000
Ce  0.8969  0.6031  0.0000
Th  0.0000  0.0000  0.0000
Th  0.5000  0.5000  0.0000
In  0.1897  0.6897  0.5000
In  0.3103  0.1897  0.5000
In  0.6897  0.8103  0.5000
In  0.8103  0.3103  0.5000



Record 4
A plane-wave DFT calculation with PBE was carried out for Ce5Th4In after structural relaxation.

abc: 4.1596 4.1596 17.0189
angles: 90.00 90.00 90.00
Sites, in units of the cell vectors:
Ce  0.0000  0.0000  0.0000
Ce  0.0000  0.0000  0.1981
Ce  0.0000  0.0000  0.4114
Ce  0.0000  0.0000  0.5886
Ce  0.0000  0.0000  0.8019
Th  0.5000  0.5000  0.1005
Th  0.5000  0.5000  0.2980
Th  0.5000  0.5000  0.7020
Th  0.5000  0.5000  0.8995
In  0.5000  0.5000  0.5000



Record 5
A plane-wave DFT calculation with PBE was carried out for CeTh2In after structural relaxation.

abc: 7.7732 7.7732 7.7732
angles: 90.00 90.00 90.00
Sites, in units of the cell vectors:
Ce  0.0000  0.0000  0.0000
Ce  0.0000  0.5000  0.5000
Ce  0.5000  0.0000  0.5000
Ce  0.5000  0.5000  0.0000
Th  0.2500  0.2500  0.2500
Th  0.2500  0.2500  0.7500
Th  0.2500  0.7500  0.2500
Th  0.2500  0.7500  0.7500
Th  0.7500  0.2500  0.2500
Th  0.7500  0.2500  0.7500
Th  0.7500  0.7500  0.2500
Th  0.7500  0.7500  0.7500
In  0.0000  0.0000  0.5000
In  0.0000  0.5000  0.0000
In  0.5000  0.0000  0.0000
In  0.5000  0.5000  0.5000



Record 6
A plane-wave DFT calculation with PBE was carried out for CeTh2In after structural relaxation.

abc: 4.2421 4.2421 23.5383
angles: 90.00 90.00 120.00
Sites, in units of the cell vectors:
Ce  0.0000  0.0000  0.0000
Ce  0.3333  0.6667  0.6667
Ce  0.6667  0.3333  0.3333
Th  0.0000  0.0000  0.4159
Th  0.0000  0.0000  0.6012
Th  0.3333  0.6667  0.0825
Th  0.3333  0.6667  0.2679
Th  0.6667  0.3333  0.7492
Th  0.6667  0.3333  0.9346
In  0.0000  0.0000  0.8419
In  0.3333  0.6667  0.5086
In  0.6667  0.3333  0.1753



Record 7
A plane-wave DFT calculation with PBE was carried out for CeTh2In3 after structural relaxation.

abc: 3.4949 3.4949 13.9272
angles: 90.00 90.00 90.00
Sites, in units of the cell vectors:
Ce  0.0000  0.0000  0.0000
Th  0.0000  0.0000  0.3328
Th  0.0000  0.0000  0.6672
In  0.5000  0.5000  0.1644
In  0.5000  0.5000  0.5000
In  0.5000  0.5000  0.8356



Record 8
A plane-wave DFT calculation with PBE was carried out for Ce3ThIn4 after structural relaxation.

abc: 4.1780 4.1780 12.9105
angles: 90.00 90.00 90.00
Sites, in units of the cell vectors:
Ce  0.0000  0.0000  0.0000
Ce  0.0000  0.0000  0.2445
Ce  0.0000  0.0000  0.7555
Th  0.0000  0.0000  0.5000
In  0.5000  0.5000  0.1230
In  0.5000  0.5000  0.3723
In  0.5000  0.5000  0.6277
In  0.5000  0.5000  0.8770



Record 9
A plane-wave DFT calculation with PBE was carried out for Ce4Th2In5 after structural relaxation.

abc: 7.0715 7.0715 7.7730
angles: 102.99 102.99 53.69
Sites, in units of the cell vectors:
Ce  0.1304  0.1304  0.4888
Ce  0.2293  0.2293  0.2241
Ce  0.7707  0.7707  0.7759
Ce  0.8696  0.8696  0.5112
Th  0.3252  0.3252  0.7726
Th  0.6748  0.6748  0.2274
In  0.1679  0.7077  0.1559
In  0.2923  0.8321  0.8441
In  0.5000  0.5000  0.5000
In  0.7077  0.1679  0.1559
In  0.8321  0.2923  0.8441



Record 10
A plane-wave DFT calculation with PBE was carried out for Ce4Th5In after structural relaxation.

abc: 10.3005 10.7021 5.7932
angles: 90.00 90.00 90.00
Sites, in units of the cell vectors:
Ce  0.0634  0.2500  0.1144
Ce  0.2500  0.5399  0.2365
Ce  0.2500  0.9601  0.2365
Ce  0.4366  0.2500  0.1144
Ce  0.5634  0.7500  0.8856
Ce  0.7500  0.0399  0.7635
Ce  0.7500  0.4601  0.7635
Ce  0.9366  0.7500  0.8856
Th  0.0779  0.0282  0.7437
Th  0.0779  0.4718  0.7437
Th  0.2500  0.7500  0.6800
Th  0.4221  0.0282  0.7437
Th  0.4221  0.4718  0.7437
Th  0.5779  0.5282  0.2563
Th  0.5779  0.9718  0.2563
Th  0.7500  0.2500  0.3200
Th  0.9221  0.5282  0.2563
Th  0.9221  0.9718  0.2563
In  0.2500  0.2500  0.5516
In  0.7500  0.7500  0.4484



Record 11
A plane-wave DFT calculation with PBE was carried out for Ce3Th2In after structural relaxation.

abc: 8.8370 8.8370 5.4941
angles: 90.00 90.00 63.72
Sites, in units of the cell vectors:
Ce  0.0666  0.9334  0.7500
Ce  0.0938  0.4371  0.2500
Ce  0.4371  0.0938  0.7500
Ce  0.5629  0.9062  0.2500
Ce  0.9062  0.5629  0.7500
Ce  0.9334  0.0666  0.2500
Th  0.2812  0.4995  0.7500
Th  0.4995  0.2812  0.2500
Th  0.5005  0.7188  0.7500
Th  0.7188  0.5005  0.2500
In  0.2790  0.7210  0.2500
In  0.7210  0.2790  0.7500



Record 12
A plane-wave DFT calculation with PBE was carried out for Ce3Th2In2 after structural relaxation.

abc: 10.9633 4.6524 7.8407
angles: 90.00 95.87 90.00
Sites, in units of the cell vectors:
Ce  0.0000  0.0000  0.0000
Ce  0.2220  0.5000  0.1300
Ce  0.2780  0.0000  0.8700
Ce  0.5000  0.5000  0.0000
Ce  0.7220  0.0000  0.1300
Ce  0.7780  0.5000  0.8700
Th  0.1415  0.0000  0.4212
Th  0.3585  0.5000  0.5788
Th  0.6415  0.5000  0.4212
Th  0.8585  0.0000  0.5788
In  0.0715  0.5000  0.7194
In  0.4285  0.0000  0.2806
In  0.5715  0.0000  0.7194
In  0.9285  0.5000  0.2806



Number 1: ΔE_f -0.0488 eV per atom, electronic total energy -74.32 eV for the cell shown. Number 2: ΔE_f -0.2392 eV per atom, electronic total energy -73.19 eV for the cell shown. Number 3: ΔE_f -0.1568 eV per atom, electronic total energy -51.10 eV for the cell shown. Number 4: ΔE_f 0.0368 eV per atom, electronic total energy -61.72 eV for the cell shown. Number 5: ΔE_f 0.0133 eV per atom, electronic total energy -93.83 eV for the cell shown. Number 6: ΔE_f 0.4094 eV per atom, electronic total energy -65.62 eV for the cell shown. Number 7: ΔE_f -0.3108 eV per atom, electronic total energy -30.85 eV for the cell shown. Number 8: ΔE_f -0.3004 eV per atom, electronic total energy -38.58 eV for the cell shown. Number 9: ΔE_f -0.1313 eV per atom, electronic total energy -53.71 eV for the cell shown. Number 10: ΔE_f 0.2218 eV per atom, electronic total energy -122.71 eV for the cell shown. Number 11: ΔE_f 0.2771 eV per atom, electronic total energy -67.43 eV for the cell shown. Number 12: ΔE_f -0.1584 eV per atom, electronic total energy -78.45 eV for the cell shown.